No. 1
VReF3 PBE+U relaxed; total energy = -5.906 eV/atom; calculated volume = 77.76 Å³ per cell
1.0
4.2684 0.0000 0.0000
0.0000 4.2684 0.0000
0.0000 0.0000 4.2684
V Re F
1 1 3
Direct
0.0000 0.0000 0.0000 V
0.5000 0.5000 0.5000 Re
0.0000 0.0000 0.5000 F
0.0000 0.5000 0.0000 F
0.5000 0.0000 0.0000 F

---

No. 2
Re3WF PBE+U relaxed; total energy = -7.966 eV/atom; energy above the most stable polymorph in this dataset = 0.00 eV/f.u.; calculated volume = 73.78 Å³ per cell
1.0
4.1941 0.0000 0.0000
0.0000 4.1941 0.0000
0.0000 0.0000 4.1941
Re W F
3 1 1
Direct
0.0000 0.0000 0.5000 Re
0.0000 0.5000 0.0000 Re
0.5000 0.0000 0.0000 Re
0.5000 0.5000 0.5000 W
0.0000 0.0000 0.0000 F